# MgWF3 | the Alexandria database | PBE with a Hubbard U | optimized geometry
# Distance to the lowest polymorph of the same formula, eV/atom: 0.151
# Density of states at the Fermi level, states/eV per atom: 0.151
data_MgWF3
_chemical_formula_sum 'Mg1 W1 F3'
_cell_length_a 4.382
_cell_length_b 4.382
_cell_length_c 4.382
_cell_angle_alpha 90.00
_cell_angle_beta 90.00
_cell_angle_gamma 90.00
_symmetry_space_group_name_H-M 'P m -3 m'
_symmetry_Int_Tables_number 221
_symmetry_space_group_name_Hall '-P 4 2 3'
loop_
_atom_site_label
_atom_site_fract_x
_atom_site_fract_y
_atom_site_fract_z
_atom_site_occupancy
Mg1 0.000 0.000 0.000 1
W1 0.500 0.500 0.500 1
F1 0.000 0.500 0.500 1